DFT (GGA-PBE) results for TcAgPb2O6 after structural relaxation.

a b c (Å): 5.687 6.275 9.771
angles (deg): 90.00 123.76 90.00
Space group P2_1/c (No. 14)
Unique sites:
Tc: 0.000 0.000 0.000 [2 per cell]
Ag: 0.500 0.000 0.500 [2 per cell]
Pb: 0.273 0.054 0.762 [4 per cell]
O: 0.114 0.065 0.223 [4 per cell]
O: 0.226 0.749 0.075 [4 per cell]
O: 0.322 0.156 0.034 [4 per cell]

## Properties
Its uncorrected formation energy is -1.032 eV/atom. Its total magnetic moment is 0.0 μB per cell.